BaAg3Au2 | GGA-PBE | optimized geometry

Structure (CIF):
```
data_BaAg3Au2
_chemical_formula_sum 'Ba1 Ag3 Au2'
_cell_length_a 5.9042
_cell_length_b 5.9042
_cell_length_c 4.6245
_cell_angle_alpha 90.00
_cell_angle_beta 90.00
_cell_angle_gamma 120.00
_space_group_name_H-M_alt 'P 6/m m m'
_space_group_IT_number 191
_space_group_name_Hall '-P 6 2'
loop_
_atom_site_label
_atom_site_type_symbol
_atom_site_fract_x
_atom_site_fract_y
_atom_site_fract_z
_atom_site_occupancy
Ba1 Ba 0.0000 0.0000 0.0000 1
Ag1 Ag 0.0000 0.5000 0.5000 1
Au1 Au 0.3333 0.6667 0.0000 1
```

Summary:
Calculated formation energy   -7.09 kcal/mol of atoms
Raw total energy   -3.15 eV per atom